Below is a geometry-optimized Be3AlGa structure, with properties calculated at the PBEsol level.

a b c (Å): 4.2120 4.2120 4.2120
angles (deg): 90.00 90.00 90.00
Last column: nearest neighbours and their distance in Å.
Space group Pm-3m (No. 221)
Unique sites:
Be 0.0000 0.0000 0.5000  2 Ga 2.11
Al 0.5000 0.5000 0.5000  12 Be 2.98
Ga 0.0000 0.0000 0.0000  6 Be 2.11

Results
Formation energy = 0.88 eV per atom
Magnetization = 0.00 μB/f.u.
V = 14.95 Å³ per atom

---

Below is a geometry-optimized AgPBr structure, with properties calculated at the PBEsol level.

a b c (Å): 3.3926 3.8023 10.9129
angles (deg): 90.00 90.00 90.00
Last column: nearest neighbours and their distance in Å.
Space group Imm2 (No. 44)
Unique sites:
Ag 0.0000 0.0000 0.0000  4 P 2.56
P 0.0000 0.0000 0.4782  1 Br 2.28
Br 0.0000 0.0000 0.2695  1 P 2.28

Results
Magnetization = 0.00 μB/f.u.
V = 23.46 Å³ per atom
Uncorrected formation energy = 0.131 eV per atom
Relative energy among the computed polymorphs = 0 meV per atom

---

Below is a geometry-optimized LaMg2Al structure, with properties calculated at the PBEsol level.

a b c (Å): 3.2279 4.9759 6.1707
angles (deg): 90.00 99.59 90.00
Last column: nearest neighbours and their distance in Å.
Space group P2/m (No. 10)
Unique sites:
La 0.0000 0.0000 0.0000  2 La 3.23, 2 Al 3.24, 8 Mg 3.32-3.51
Mg 0.3493 0.5000 0.7236  2 Al 2.92, 4 Mg 3.08-3.26
Al 0.5000 0.0000 0.5000  4 Mg 2.92, 2 Al 3.23, 2 La 3.24

Results
Formation energy = -0.06 eV per atom
Magnetization = 0.00 μB/f.u.
V = 24.43 Å³ per atom

---

Below is a geometry-optimized Sc2CdTc structure, with properties calculated at the PBEsol level.

a b c (Å): 3.1342 3.1342 29.7717
angles (deg): 90.00 90.00 120.00
Last column: nearest neighbours and their distance in Å.
Space group R-3m (No. 166, hexagonal axes)
Unique sites:
Sc 0.0000 0.0000 0.1025  3 Tc 2.63
Cd 0.0000 0.0000 0.0000  2 Sc 3.05, 6 Cd 3.13
Tc 0.0000 0.0000 0.5000  6 Sc 2.63

Results
Formation energy = 0.11 eV per atom
Magnetization = 0.00 μB/f.u.
V = 21.11 Å³ per atom